Record 1
# UVGaRu | Alexandria via LeMat-Bulk | PBE | relaxed
data_UVGaRu
_cell_length_a 6.466
_cell_length_b 6.466
_cell_length_c 6.466
_cell_angle_alpha 90.00
_cell_angle_beta 90.00
_cell_angle_gamma 90.00
_symmetry_space_group_name_H-M 'F -4 3 m'
_symmetry_Int_Tables_number 216
_symmetry_space_group_name_Hall 'F -4 2 3'
loop_
_atom_site_label
_atom_site_fract_x
_atom_site_fract_y
_atom_site_fract_z
U1 0.000 0.000 0.000
V1 0.250 0.250 0.750
Ga1 0.000 0.000 0.500
Ru1 0.250 0.250 0.250
# raw total energy	-132.971	eV/cell

***

Record 2
# MgSb2Pb | Alexandria via LeMat-Bulk | PBE | relaxed
data_MgSb2Pb
_cell_length_a 7.634
_cell_length_b 7.634
_cell_length_c 7.634
_cell_angle_alpha 90.00
_cell_angle_beta 90.00
_cell_angle_gamma 90.00
_symmetry_space_group_name_H-M 'F m -3 m'
_symmetry_Int_Tables_number 225
_symmetry_space_group_name_Hall '-F 4 2 3'
loop_
_atom_site_label
_atom_site_fract_x
_atom_site_fract_y
_atom_site_fract_z
Mg1 0.000 0.000 0.000
Sb1 0.250 0.250 0.250
Pb1 0.000 0.000 0.500
# uncorrected formation energy	0.0169	eV per atom
# energy relative to the lowest polymorph listed for this composition	0.076	eV/atom
# raw total energy	-53.921	eV/cell

***

Record 3
# Ac3TbPr12 | Alexandria via LeMat-Bulk | PBE | relaxed
data_Ac3TbPr12
_cell_length_a 5.313
_cell_length_b 5.313
_cell_length_c 21.197
_cell_angle_alpha 90.00
_cell_angle_beta 90.00
_cell_angle_gamma 90.00
_symmetry_space_group_name_H-M 'P 4/m m m'
_symmetry_Int_Tables_number 123
_symmetry_space_group_name_Hall '-P 4 2'
loop_
_atom_site_label
_atom_site_fract_x
_atom_site_fract_y
_atom_site_fract_z
Ac1 0.000 0.000 0.000
Ac2 0.000 0.000 0.253
Tb1 0.000 0.000 0.500
Pr1 0.000 0.500 0.126
Pr2 0.000 0.500 0.380
Pr3 0.500 0.500 0.000
Pr4 0.500 0.500 0.254
Pr5 0.500 0.500 0.500
# raw total energy	-74.016	eV/cell

***

- Among the records above, which one has the highest raw total energy?
  MgSb2Pb